First-principles (GGA-PBEsol) data for RbBaGeOs2 after structural relaxation, as listed in Alexandria via LeMat-Bulk.

Geometry as POSCAR:
```
RbBaGeOs2
1.0
4.8534 0.0000 0.0000
0.0000 4.8534 0.0000
0.0000 0.0000 5.5963
Rb Ba Ge Os
1 1 1 2
Direct
0.0000 0.0000 0.0000
0.0000 0.0000 0.5000
0.5000 0.5000 0.5000
0.0000 0.5000 0.0000
0.5000 0.0000 0.0000
```

N(E_F)   1.192 states/eV per atom
SG   P4/mmm
Crystal system   tetragonal
ΔE_f   2.80 eV per atom